(1)
First-principles (PBE-GGA) data for a relaxed Pm5MgRh4 crystal, as listed in the Alexandria database.

## Properties
- density of states at the Fermi level (states/eV per cell) = 7.04
- crystal system = tetragonal
- spin magnetization (μB per atom) = 0.00

Cell: 3.579 3.579 18.193 Å, 90.00 90.00 90.00°
Space group P4/mmm (No. 123)
Inequivalent atoms, fractional coordinates:
Pm1 0.000 0.000 0.000 (multiplicity 1)
Pm2 0.000 0.000 0.189 (multiplicity 2)
Pm3 0.000 0.000 0.376 (multiplicity 2)
Mg1 0.500 0.500 0.500 (multiplicity 1)
Rh1 0.500 0.500 0.096 (multiplicity 2)
Rh2 0.500 0.500 0.288 (multiplicity 2)

---

(2)
First-principles (PBE-GGA) data for a relaxed PmMg2Rh2 crystal, as listed in the Alexandria database.

## Properties
- density of states at the Fermi level (states/eV per cell) = 4.08
- crystal system = monoclinic
- energy above the most stable polymorph in this dataset (meV per atom) = 0
- spin magnetization (μB per atom) = 0.00

Cell: 5.006 4.680 8.598 Å, 90.00 99.93 90.00°
Space group P2_1/m (No. 11)
Inequivalent atoms, fractional coordinates:
Pm1 0.187 0.250 0.278 (multiplicity 2)
Mg1 0.292 0.250 0.658 (multiplicity 2)
Mg2 0.355 0.750 0.983 (multiplicity 2)
Rh1 0.113 0.250 0.927 (multiplicity 2)
Rh2 0.253 0.750 0.496 (multiplicity 2)

---

(3)
First-principles (PBE-GGA) data for a relaxed Pm3MgRh3 crystal, as listed in the Alexandria database.

## Properties
- density of states at the Fermi level (states/eV per cell) = 17.84
- crystal system = monoclinic
- energy above the most stable polymorph in this dataset (meV per atom) = 141
- spin magnetization (μB per atom) = 0.00

Cell: 10.323 9.582 6.608 Å, 90.00 99.63 90.00°
Space group C2/m (No. 12)
Inequivalent atoms, fractional coordinates:
Pm1 0.000 0.190 0.000 (multiplicity 4)
Pm2 0.000 0.282 0.500 (multiplicity 4)
Pm3 0.199 0.500 0.010 (multiplicity 4)
Mg1 0.215 0.000 0.450 (multiplicity 4)
Rh1 0.053 0.000 0.711 (multiplicity 4)
Rh2 0.248 0.247 0.736 (multiplicity 8)

---

(4)
First-principles (PBE-GGA) data for a relaxed PmMg5Rh2 crystal, as listed in the Alexandria database.

## Properties
- density of states at the Fermi level (states/eV per cell) = 7.66
- crystal system = orthorhombic
- spin magnetization (μB per atom) = 0.00

Cell: 4.162 8.333 9.725 Å, 90.00 90.00 90.00°
Space group Immm (No. 71)
Inequivalent atoms, fractional coordinates:
Pm1 0.000 0.000 0.000 (multiplicity 2)
Mg1 0.000 0.183 0.334 (multiplicity 8)
Mg2 0.000 0.500 0.000 (multiplicity 2)
Rh1 0.000 0.500 0.273 (multiplicity 4)

---

(5)
First-principles (PBE-GGA) data for a relaxed Pm3MgRh3 crystal, as listed in the Alexandria database.

## Properties
- density of states at the Fermi level (states/eV per cell) = 22.21
- crystal system = orthorhombic
- energy above the most stable polymorph in this dataset (meV per atom) = 0
- spin magnetization (μB per atom) = 0.00

Cell: 4.227 10.558 14.050 Å, 90.00 90.00 90.00°
Space group Cmcm (No. 63)
Inequivalent atoms, fractional coordinates:
Pm1 0.000 0.025 0.250 (multiplicity 4)
Pm2 0.000 0.301 0.106 (multiplicity 8)
Mg1 0.000 0.000 0.000 (multiplicity 4)
Rh1 0.000 0.250 0.750 (multiplicity 4)
Rh2 0.000 0.409 0.592 (multiplicity 8)

---

(6)
First-principles (PBE-GGA) data for a relaxed PmMg9Rh2 crystal, as listed in the Alexandria database.

## Properties
- density of states at the Fermi level (states/eV per cell) = 31.17
- crystal system = tetragonal
- spin magnetization (μB per atom) = 0.00

Cell: 11.544 11.544 7.568 Å, 90.00 90.00 90.00°
Space group I4_1/amd (No. 141, origin choice 2)
Inequivalent atoms, fractional coordinates:
Pm1 0.000 0.250 0.375 (multiplicity 4)
Mg1 0.000 0.250 0.875 (multiplicity 4)
Mg2 0.122 0.052 0.693 (multiplicity 32)
Rh1 0.000 0.000 0.000 (multiplicity 8)

---

Calculated E_form in order - -0.569, -0.491, -0.533, -0.374, -0.674, -0.231 eV/atom